A relaxed CsK2AlAs2 crystal. Source: Alexandria, functional GGA-PBE.

```
CsK2AlAs2
1.0
-6.800 -1.322 0.191
1.613 -7.750 3.771
2.194 7.491 4.264
K Cs As Al
4 2 4 2
direct
0.315 0.139 0.629
0.815 0.490 0.629
0.185 0.510 0.371
0.685 0.861 0.371
0.250 0.000 0.000
0.750 0.000 0.000
0.410 0.574 0.820
0.590 0.426 0.180
0.910 0.245 0.820
0.090 0.755 0.180
0.250 0.500 0.000
0.750 0.500 0.000
```

## Properties
Its formation energy is -0.485 eV per atom. The calculation puts the total magnetic moment at 0.00 μB per formula unit. For the electronic total energy, the calculation gives -3.17 eV/atom.

***

A relaxed Cs4Rb2AlAs2 crystal. Source: Alexandria, functional GGA-PBE.

```
Cs4Rb2AlAs2
1.0
5.259 1.238 0.843
2.422 12.194 -0.473
2.422 4.037 11.516
Cs As Rb Al
4 2 2 1
direct
0.271 0.705 0.034
0.271 0.034 0.705
0.729 0.295 0.966
0.729 0.966 0.295
0.228 0.131 0.131
0.772 0.869 0.869
0.144 0.665 0.665
0.856 0.335 0.335
0.500 0.000 0.000
```

## Properties
Its formation energy is -0.215 eV per atom. For the density of states at the Fermi level, the calculation gives 0.465 states/eV per atom. The calculation puts the total magnetic moment at 0.00 μB per formula unit. For the electronic total energy, the calculation gives -2.26 eV/atom.

***

A relaxed CsAlAsRu2 crystal. Source: Alexandria, functional GGA-PBE.

```
CsAlAsRu2
1.0
-0.759 0.695 -4.898
-4.787 -3.025 0.312
-2.575 4.176 0.992
Ru As Cs Al
2 1 1 1
direct
0.500 0.000 0.000
0.000 0.000 0.500
0.000 0.500 0.000
0.000 0.000 0.000
0.500 0.500 0.500
```

## Properties
Its formation energy is 2.596 eV per atom. For the density of states at the Fermi level, the calculation gives 1.669 states/eV per atom. The calculation puts the total magnetic moment at 3.62 μB per formula unit. For the electronic total energy, the calculation gives -2.96 eV/atom.

***

A relaxed CsAlAsSe2 crystal. Source: Alexandria, functional GGA-PBE.

```
CsAlAsSe2
1.0
-2.395 -4.621 -0.694
3.762 -1.444 -3.365
2.629 -1.928 3.766
Cs Al Se As
1 1 2 1
direct
0.500 0.500 0.500
0.000 0.000 0.000
0.000 0.500 0.000
0.500 0.000 0.000
0.000 0.000 0.500
```

## Properties
Its energy above the most stable polymorph in this dataset is 0 meV/atom. For the density of states at the Fermi level, the calculation gives 0.826 states/eV per atom. The calculation puts the total magnetic moment at 0.00 μB per formula unit. For the electronic total energy, the calculation gives -3.50 eV/atom.